Density functional theory data (PBE with a Hubbard U) for a geometry-optimized Cr2SnGeO8 structure.

## Properties
The final energy comes out at -6.835 eV/atom.

abc: 4.559 4.557 6.099
angles: 90.00 90.00 89.35
Each line ends with the local moment (μB).
Element x y z (fractional)
O: 0.800 0.200 0.767  -0.07
Cr: 0.500 0.500 0.757  2.25
O: 0.302 0.301 0.000  -0.08
O: 0.200 0.800 0.767  -0.07
Ge: 0.000 0.000 0.000  0.02
O: 0.684 0.685 0.500  -0.06
O: 0.316 0.315 0.500  -0.06
O: 0.800 0.200 0.233  -0.07
O: 0.200 0.800 0.233  -0.07
O: 0.698 0.699 0.000  -0.08
Cr: 0.500 0.500 0.243  2.25
Sn: 0.000 0.000 0.500  0.03